Compound: Lu4AlSbC2
Source: the Open Quantum Materials Database
Functional: PBE-GGA
Structure: relaxed

Output
Its space-group type is No. 187.

Structure (POSCAR):
```
Lu4AlSbC2
1.0
3.522 0.000 0.000
-1.761 3.050 0.000
0.000 0.000 15.190
Lu Al Sb C
4 1 1 2
direct
0.000 0.000 0.163
0.000 0.000 0.837
0.667 0.333 0.335
0.667 0.333 0.665
0.667 0.333 0.000
0.000 0.000 0.500
0.333 0.667 0.253
0.333 0.667 0.747
```

***

Compound: Lu4AlSiC2
Source: the Open Quantum Materials Database
Functional: PBE-GGA
Structure: relaxed

Output
Its space-group type is No. 187.

Structure (POSCAR):
```
Lu4AlSiC2
1.0
3.476 0.000 0.000
-1.738 3.011 0.000
0.000 0.000 14.989
Lu Al Si C
4 1 1 2
direct
0.000 0.000 0.152
0.000 0.000 0.848
0.667 0.333 0.327
0.667 0.333 0.673
0.000 0.000 0.500
0.667 0.333 0.000
0.333 0.667 0.241
0.333 0.667 0.759
```

***

Compound: Lu2Ta4Al3C3
Source: the Open Quantum Materials Database
Functional: PBE-GGA
Structure: relaxed

Output
Its space-group type is No. 15.

Structure (POSCAR):
```
Lu2Ta4Al3C3
1.0
4.832 -2.784 0.000
4.832 2.784 0.000
-3.319 0.000 14.041
Lu Ta Al C
4 8 6 6
direct
0.038 0.877 0.610
0.123 0.962 0.890
0.877 0.038 0.110
0.962 0.123 0.390
0.194 0.351 0.081
0.295 0.483 0.419
0.351 0.194 0.581
0.483 0.295 0.919
0.517 0.705 0.081
0.649 0.806 0.419
0.705 0.517 0.581
0.806 0.649 0.919
0.087 0.399 0.752
0.399 0.087 0.252
0.429 0.571 0.250
0.571 0.429 0.750
0.601 0.913 0.748
0.913 0.601 0.248
0.000 0.500 0.500
0.171 0.659 0.000
0.341 0.829 0.500
0.500 0.000 0.000
0.659 0.171 0.500
0.829 0.341 0.000
```

***

Compound: Lu4Al3W2C3
Source: the Open Quantum Materials Database
Functional: PBE-GGA
Structure: relaxed

Output
Its space-group type is No. 15.

Structure (POSCAR):
```
Lu4Al3W2C3
1.0
4.988 -2.914 0.000
4.988 2.914 0.000
-3.491 0.000 13.896
Lu Al W C
8 6 4 6
direct
0.046 0.188 0.098
0.121 0.300 0.402
0.188 0.046 0.598
0.300 0.121 0.902
0.700 0.879 0.098
0.812 0.954 0.402
0.879 0.700 0.598
0.954 0.812 0.902
0.160 0.840 0.250
0.319 0.419 0.753
0.419 0.319 0.253
0.581 0.681 0.747
0.681 0.581 0.247
0.840 0.160 0.750
0.349 0.525 0.073
0.475 0.651 0.427
0.525 0.349 0.573
0.651 0.475 0.927
0.000 0.500 0.000
0.191 0.655 0.500
0.345 0.809 0.000
0.500 0.000 0.500
0.655 0.191 0.000
0.809 0.345 0.500
```

***

Compound: Lu2Al3W4C3
Source: the Open Quantum Materials Database
Functional: PBE-GGA
Structure: relaxed

Output
Its space-group type is No. 15.

Structure (POSCAR):
```
Lu2Al3W4C3
1.0
4.729 -2.736 0.000
4.729 2.736 0.000
-3.290 0.000 13.677
Lu Al W C
4 6 8 6
direct
0.041 0.879 0.616
0.121 0.959 0.884
0.879 0.041 0.116
0.959 0.121 0.384
0.087 0.402 0.752
0.402 0.087 0.252
0.426 0.574 0.250
0.574 0.426 0.750
0.598 0.913 0.748
0.913 0.598 0.248
0.194 0.348 0.078
0.294 0.486 0.421
0.348 0.194 0.578
0.486 0.294 0.921
0.514 0.706 0.079
0.652 0.806 0.422
0.706 0.514 0.579
0.806 0.652 0.922
0.000 0.500 0.500
0.169 0.661 0.000
0.339 0.831 0.500
0.500 0.000 0.000
0.661 0.169 0.500
0.831 0.339 0.000
```

***

Compound: Lu2Zr4Al3C3
Source: the Open Quantum Materials Database
Functional: PBE-GGA
Structure: relaxed

Output
Its space-group type is No. 15.

Structure (POSCAR):
```
Lu2Zr4Al3C3
1.0
5.036 -2.909 0.000
5.036 2.909 0.000
-3.429 0.000 14.706
Lu Zr Al C
4 8 6 6
direct
0.035 0.872 0.603
0.128 0.965 0.897
0.872 0.035 0.103
0.965 0.128 0.397
0.194 0.357 0.083
0.300 0.478 0.417
0.357 0.194 0.583
0.478 0.300 0.917
0.522 0.700 0.083
0.643 0.806 0.417
0.700 0.522 0.583
0.806 0.643 0.917
0.085 0.392 0.750
0.392 0.085 0.250
0.437 0.563 0.250
0.563 0.437 0.750
0.608 0.915 0.750
0.915 0.608 0.250
0.000 0.500 0.500
0.168 0.663 0.000
0.337 0.832 0.500
0.500 0.000 0.000
0.663 0.168 0.500
0.832 0.337 0.000
```

***

Number 1: VASP energy -6.07 eV/atom. Number 2: VASP energy -6.10 eV/atom. Number 3: VASP energy -8.53 eV/atom. Number 4: VASP energy -7.31 eV/atom. Number 5: VASP energy -8.65 eV/atom. Number 6: VASP energy -7.45 eV/atom.